(1)
Below is TlVAg2F8 after structural relaxation, with properties calculated at the GGA+U level.

a b c (Å): 4.883 5.391 7.611
angles (deg): 92.65 93.45 98.59
Fractional positions:
Tl (0.000, 0.000, 0.000)
V (0.000, 0.000, 0.500)
Ag (0.439, 0.508, 0.760)
Ag (0.561, 0.492, 0.240)
F (0.134, 0.808, 0.328)
F (0.171, 0.824, 0.674)
F (0.320, 0.257, 0.506)
F (0.468, 0.729, 0.016)
F (0.532, 0.271, 0.984)
F (0.680, 0.743, 0.494)
F (0.829, 0.176, 0.326)
F (0.866, 0.192, 0.672)

Calculated values
calculated total energy: -53.1 eV per cell
total magnetization: 0.08 Bohr magnetons per cell

(2)
Below is V6CuO15 after structural relaxation, with properties calculated at the GGA+U level.

a b c (Å): 7.374 7.945 10.282
angles (deg): 106.73 90.32 103.19
Fractional positions:
V (0.000, 0.000, 0.000)
V (0.020, 0.104, 0.692)
V (0.113, 0.444, 0.984)
V (0.227, 0.900, 0.215)
V (0.306, 0.232, 0.503)
V (0.337, 0.340, 0.196)
V (0.502, 0.007, 0.008)
V (0.526, 0.094, 0.691)
V (0.608, 0.441, 0.978)
V (0.728, 0.894, 0.218)
V (0.806, 0.252, 0.505)
V (0.834, 0.332, 0.187)
Cu (0.394, 0.591, 0.751)
Cu (0.867, 0.707, 0.467)
O (0.039, 0.150, 0.877)
O (0.044, 0.191, 0.528)
O (0.086, 0.308, 0.144)
O (0.146, 0.466, 0.828)
O (0.168, 0.671, 0.098)
O (0.211, 0.879, 0.368)
O (0.251, 0.038, 0.052)
O (0.282, 0.141, 0.665)
O (0.294, 0.189, 0.318)
O (0.354, 0.407, 0.021)
O (0.366, 0.455, 0.568)
O (0.397, 0.535, 0.309)
O (0.454, 0.806, 0.890)
O (0.486, 0.935, 0.184)
O (0.488, 0.877, 0.640)
O (0.537, 0.157, 0.874)
O (0.542, 0.176, 0.522)
O (0.564, 0.285, 0.139)
O (0.588, 0.475, 0.827)
O (0.668, 0.670, 0.098)
O (0.739, 0.860, 0.369)
O (0.772, 0.055, 0.057)
O (0.792, 0.174, 0.677)
O (0.797, 0.185, 0.323)
O (0.849, 0.472, 0.552)
O (0.851, 0.405, 0.010)
O (0.873, 0.534, 0.304)
O (0.943, 0.804, 0.889)
O (0.946, 0.881, 0.632)
O (0.983, 0.933, 0.177)

Calculated values
calculated total energy: -322.1 eV per cell
total magnetization: 2.15 Bohr magnetons per cell